Entry 1:
Below is a geometry-optimized RePSe structure, with properties calculated at the GGA-PBE level.

Results
* E_form (uncorrected): 1.6 eV/f.u.
* distance to the lowest polymorph of the same formula: 764 meV/atom
* total energy: -6.58 eV per atom
* spin magnetization: 0.00 μB per cell

Lattice parameters (Å, degrees): 4.4209 4.4209 2.8866 90.00 90.00 120.00
Element x y z (fractional)
Re1 0.0000 0.0000 0.0000
P1 0.3333 0.6667 0.8875
Se1 0.6667 0.3333 0.1177



Entry 2:
Below is a geometry-optimized RePSe2 structure, with properties calculated at the GGA-PBE level.

Results
* E_form (uncorrected): 0.5 eV/f.u.
* total energy: -6.08 eV per atom
* spin magnetization: 0.00 μB per cell

Lattice parameters (Å, degrees): 8.7748 8.7748 8.7748 21.15 21.15 21.15
Element x y z (fractional)
Re1 0.0000 0.0000 0.0000
P1 0.7350 0.7350 0.7350
Se1 0.2689 0.2689 0.2689
Se2 0.4658 0.4658 0.4658